A relaxed BaLiRu2 crystal, computed with PBEsol.

```
BaLiRu2
1.0
-1.9785 -1.1378 -1.8575
2.5714 -2.0362 -1.4917
-1.5107 -5.6409 5.0955
Ba Li Ru
1 1 2
Direct
0.0022 0.0000 0.4697
0.4981 0.5000 0.8318
0.9994 0.0000 0.0375
0.5002 0.5000 0.1610
```

- Relative energy among the computed polymorphs: 0.146 eV per atom

---

A relaxed Ba2LiRu crystal, computed with PBEsol.

```
Ba2LiRu
1.0
-2.4761 2.2734 -2.1250
-0.0193 -0.2525 -3.9687
-7.9747 -6.6387 -1.5314
Ba Li Ru
2 1 1
Direct
0.2695 0.2695 0.1914
0.7305 0.7305 0.8086
0.5000 0.5000 0.5000
0.0000 0.0000 0.0000
```

- Relative energy among the computed polymorphs: 0.128 eV per atom

---

A relaxed Ba2LiRu crystal, computed with PBEsol.

```
Ba2LiRu
1.0
3.8575 0.0000 0.0000
0.0000 5.4014 0.0000
0.0000 0.0000 5.4014
Ba Li Ru
2 1 1
Direct
0.0000 0.0000 0.5000
0.0000 0.5000 0.0000
0.5000 0.5000 0.5000
0.5000 0.0000 0.0000
```

- Relative energy among the computed polymorphs: 0.103 eV per atom

---

A relaxed Ba2LiRu crystal, computed with PBEsol.

```
Ba2LiRu
1.0
4.8188 0.0000 0.0000
0.0000 4.8188 0.0000
-2.4094 -2.4094 4.5467
Ba Li Ru
2 1 1
Direct
0.0000 0.0000 0.0000
0.7500 0.2500 0.5000
0.5000 0.5000 0.0000
0.2500 0.7500 0.5000
```

- Relative energy among the computed polymorphs: 0.133 eV per atom

---

A relaxed BaLiRu2 crystal, computed with PBEsol.

```
BaLiRu2
1.0
-2.1025 0.7119 3.4738
-3.9023 -0.9373 -2.1698
1.0025 -4.5072 0.1440
Ba Li Ru
1 1 2
Direct
0.5000 0.5000 0.0000
0.0000 0.5000 0.5000
0.7887 0.0000 0.6235
0.2113 0.0000 0.3765
```

- Relative energy among the computed polymorphs: 0.326 eV per atom

---

A relaxed BaLiRu2 crystal, computed with PBEsol.

```
BaLiRu2
1.0
4.1862 0.0000 0.0000
2.0931 3.6253 0.0000
2.0931 1.2084 5.8189
Ba Li Ru
1 1 2
Direct
0.4986 0.4986 0.5044
0.6997 0.6997 0.9010
0.9788 0.9788 0.0637
0.2994 0.2994 0.1017
```

- Relative energy among the computed polymorphs: 0.000 eV per atom

---

A relaxed Ba4LiRu crystal, computed with PBEsol.

```
Ba4LiRu
1.0
6.8454 0.0000 0.0000
3.4227 5.9283 0.0000
3.4227 1.9761 5.5893
Ba Li Ru
4 1 1
Direct
0.3737 0.3737 0.3737
0.3737 0.3737 0.8788
0.8788 0.3737 0.3737
0.3737 0.8788 0.3737
0.7500 0.7500 0.7500
0.0000 0.0000 0.0000
```

- Electronic total energy: -14.4 eV/cell

---

A relaxed Ba2LiRu crystal, computed with PBEsol.

```
Ba2LiRu
1.0
3.6135 0.0000 0.0000
0.0000 5.4914 0.0000
-1.8068 -2.7457 6.0901
Ba Li Ru
2 1 1
Direct
0.0660 0.0660 0.1321
0.2616 0.7616 0.5232
0.4174 0.4174 0.8348
0.7550 0.2550 0.5100
```

- Relative energy among the computed polymorphs: 0.000 eV per atom

---

A relaxed Ba2LiS2 crystal, computed with PBEsol.

```
Ba2LiS2
1.0
-1.5504 -5.2119 1.8400
4.9828 -0.4910 2.8079
-4.2660 5.3624 2.6400
S Ba Li
2 2 1
Direct
0.2500 0.7500 0.5000
0.7500 0.2500 0.5000
0.3225 0.3225 0.6450
0.6775 0.6775 0.3550
0.0000 0.0000 0.0000
```

- Formation energy from raw total energies: -1.13 eV per atom

---

A relaxed BaLiSe2S crystal, computed with PBEsol.

```
BaLiSe2S
1.0
5.7156 0.0000 0.0000
0.0000 5.7156 0.0000
0.0000 0.0000 14.6898
S Ba Se Li
1 1 2 1
Direct
0.5000 0.5000 0.5000
0.0000 0.0000 0.0000
0.0000 0.5000 0.0000
0.5000 0.0000 0.0000
0.0000 0.0000 0.5000
```

- Formation energy from raw total energies: 0.44 eV per atom

---

A relaxed Ba2Li2Sb crystal, computed with PBEsol.

```
Ba2Li2Sb
1.0
-0.3384 -5.2450 0.2209
0.6293 0.2773 7.5474
-7.5367 0.5119 0.6096
Sb Ba Li
2 4 4
Direct
0.0000 0.0000 0.0000
0.0000 0.5000 0.5000
0.5000 0.1946 0.6946
0.5000 0.6946 0.8054
0.5000 0.8054 0.3054
0.5000 0.3054 0.1946
0.0000 0.3697 0.8697
0.0000 0.8697 0.6303
0.0000 0.6303 0.1303
0.0000 0.1303 0.3697
```

- Formation energy from raw total energies: -0.42 eV per atom

---

A relaxed BaLi2Sb crystal, computed with PBEsol.

```
BaLi2Sb
1.0
-0.4617 3.0549 3.4560
-3.1403 -0.1355 -3.4087
-0.7705 -4.7030 4.0542
Sb Ba Li
1 1 2
Direct
0.0000 0.0000 0.5000
0.5000 0.0000 0.0000
0.7008 0.4015 0.6021
0.2992 0.5985 0.3979
```

- Formation energy from raw total energies: -0.63 eV per atom